Entry 1:
Material: Li2LuSn
Method: DFT, PBE
State: optimized geometry

abc: 4.757 4.757 4.757
angles: 60.00 60.00 60.00
Element x y z (fractional)
1 Li 0.750 0.750 0.750
2 Li 0.250 0.250 0.250
3 Sn 0.000 0.000 0.000
4 Lu 0.500 0.500 0.500

Results
Energy relative to the elements in kcal/mol of atoms: -7.559
Polymorph energy (0 for the lowest one) in meV/atom: 0
Space-group type: Fm-3m
E in eV/cell: -13.7
Calculated volume in Å³/cell: 76

Entry 2:
Material: LiLuSn2
Method: DFT, PBE
State: optimized geometry

abc: 9.938 9.938 4.479
angles: 90.00 90.00 155.40
Element x y z (fractional)
1 Lu 0.896 0.104 0.750
2 Lu 0.104 0.896 0.250
3 Sn 0.455 0.545 0.250
4 Sn 0.253 0.747 0.750
5 Sn 0.747 0.253 0.250
6 Sn 0.545 0.455 0.750
7 Li 0.671 0.329 0.750
8 Li 0.329 0.671 0.250

Results
Energy relative to the elements in kcal/mol of atoms: -7.418
Space-group type: Cmcm
E in eV/cell: -31.5
Calculated volume in Å³/cell: 184

Entry 3:
Material: LiLuSn
Method: DFT, PBE
State: optimized geometry

abc: 4.882 4.882 4.882
angles: 60.00 60.00 60.00
Element x y z (fractional)
1 Lu 0.500 0.500 0.500
2 Sn 0.250 0.250 0.250
3 Li 0.000 0.000 0.000

Results
Energy relative to the elements in kcal/mol of atoms: -9.016
Space-group type: F-43m
E in eV/cell: -11.6
Calculated volume in Å³/cell: 82

Entry 4:
Material: LiLuSn2
Method: DFT, PBE
State: optimized geometry

abc: 4.338 4.605 4.605
angles: 90.00 90.00 90.00
Element x y z (fractional)
1 Lu 0.500 0.500 0.500
2 Sn 0.000 0.000 0.500
3 Sn 0.000 0.500 0.000
4 Li 0.500 0.000 0.000

Results
Energy relative to the elements in kcal/mol of atoms: -11.456
Space-group type: P4/mmm
E in eV/cell: -16.4
Calculated volume in Å³/cell: 92

Entry 5:
Material: Li2LuSn
Method: DFT, PBE
State: optimized geometry

abc: 4.776 4.316 4.316
angles: 90.00 90.00 90.00
Element x y z (fractional)
1 Li 0.000 0.500 0.000
2 Li 0.000 0.000 0.500
3 Lu 0.500 0.500 0.500
4 Sn 0.500 0.000 0.000

Results
Energy relative to the elements in kcal/mol of atoms: -7.397
Polymorph energy (0 for the lowest one) in meV/atom: 7
Space-group type: P4/mmm
E in eV/cell: -13.6
Calculated volume in Å³/cell: 89

Entry 6:
Material: LiLuSn2
Method: DFT, PBE
State: optimized geometry

abc: 3.444 3.444 9.837
angles: 79.92 79.92 60.00
Element x y z (fractional)
1 Lu 0.500 0.500 0.500
2 Li 0.000 0.000 0.000
3 Sn 0.254 0.254 0.237
4 Sn 0.746 0.746 0.763

Results
Energy relative to the elements in kcal/mol of atoms: -7.175
Space-group type: R-3m
E in eV/cell: -15.7
Calculated volume in Å³/cell: 99